The following is a PBE-GGA calculation of a relaxed structure of ZnTeP2, from Alexandria.

The structure in POSCAR format:
```
ZnTeP2
1.0
-2.709 2.709 2.680
2.709 -2.709 2.680
2.709 2.709 -2.680
Zn Te P
1 1 2
Cartesian
0.000 0.000 0.000
0.000 0.000 2.680
2.709 0.000 0.000
0.000 2.709 0.000
```

## Properties
formation energy from raw total energies = 91 kJ/mol of formula units
ρ = 5381 kg/m³
energy above the lowest structure with this stoichiometry = 0.70 eV/f.u.
energy = -0.2626 Ry per atom